(1)
Density functional theory data (GGA-PBE) for a relaxed structure of BeAl2Pb.

E_form, meV per atom: 501
Total magnetic moment, μB/cell: 0.00
Excess energy over the best structure of this formula in the dataset, meV/atom: 234

Cell lengths 5.4554, 10.8797, 3.2609 Å; angles 90.00, 126.57, 90.00 degrees
Space group C2/m (No. 12)
One atom of each set of equivalent atoms:
Be (0.0000, 0.0000, 0.0000)
Al (0.2500, 0.2500, 0.0000)
Pb (0.0000, 0.5000, 0.0000)

---

(2)
Density functional theory data (GGA-PBE) for a relaxed structure of Be4AlPb.

E_form, meV per atom: 505
Total magnetic moment, μB/cell: 0.00

Cell lengths 6.8329, 6.8329, 6.8329 Å; angles 90.00, 90.00, 90.00 degrees
Space group F-43m (No. 216)
One atom of each set of equivalent atoms:
Be (0.1208, 0.1208, 0.3792)
Al (0.2500, 0.2500, 0.7500)
Pb (0.0000, 0.0000, 0.0000)

---

(3)
Density functional theory data (GGA-PBE) for a relaxed structure of Be2AlPb.

E_form, meV per atom: 527
Total magnetic moment, μB/cell: 0.00
Excess energy over the best structure of this formula in the dataset, meV/atom: 251

Cell lengths 2.9369, 3.6559, 6.4995 Å; angles 90.00, 102.06, 90.00 degrees
Space group P2/m (No. 10)
One atom of each set of equivalent atoms:
Be (0.1053, 0.0000, 0.1693)
Al (0.5000, 0.5000, 0.0000)
Pb (0.5000, 0.5000, 0.5000)